Entry 1:
DFT (PBE) results for an optimized crystal structure of PmZrSi.

Cell: 4.2319 4.2319 8.0173 Å, 90.00 90.00 90.00°
Sites, in units of the cell vectors:
1 Pm 0.2500 0.2500 0.1490
2 Pm 0.7500 0.7500 0.8510
3 Zr 0.2500 0.7500 0.5000
4 Zr 0.7500 0.2500 0.5000
5 Si 0.2500 0.2500 0.7457
6 Si 0.7500 0.7500 0.2543

Properties
For the energy above the most stable polymorph in this dataset, the calculation gives 0 meV per atom. The uncorrected formation energy is -603 meV per atom. The calculation puts the volume at 23.9 Å³ per atom.


Entry 2:
DFT (PBE) results for an optimized crystal structure of PmZrSi.

Cell: 6.6923 6.6923 8.1125 Å, 113.34 113.34 92.16°
Sites, in units of the cell vectors:
1 Pm 0.0054 0.7552 0.5109
2 Pm 0.2448 0.9946 0.9891
3 Pm 0.7552 0.0054 0.0109
4 Pm 0.9946 0.2448 0.4891
5 Zr 0.2497 0.4998 0.9997
6 Zr 0.4998 0.2497 0.4997
7 Zr 0.5002 0.7503 0.5003
8 Zr 0.7503 0.5002 0.0003
9 Si 0.1457 0.8543 0.2500
10 Si 0.3956 0.6044 0.7500
11 Si 0.6044 0.3956 0.2500
12 Si 0.8543 0.1457 0.7500

Properties
For the energy above the most stable polymorph in this dataset, the calculation gives 245 meV per atom. The uncorrected formation energy is -358 meV per atom. The calculation puts the volume at 24.8 Å³ per atom.


Entry 3:
DFT (PBE) results for an optimized crystal structure of Pm13Sm2.

Cell: 12.4967 12.4967 12.4967 Å, 33.43 33.43 33.43°
Sites, in units of the cell vectors:
1 Pm 0.0000 0.0000 0.0000
2 Pm 0.0425 0.5458 0.5458
3 Pm 0.2085 0.7105 0.7105
4 Pm 0.2895 0.2895 0.7915
5 Pm 0.2895 0.7915 0.2895
6 Pm 0.4542 0.4542 0.9575
7 Pm 0.4542 0.9575 0.4542
8 Pm 0.5458 0.0425 0.5458
9 Pm 0.5458 0.5458 0.0425
10 Pm 0.7105 0.2085 0.7105
11 Pm 0.7105 0.7105 0.2085
12 Pm 0.7915 0.2895 0.2895
13 Pm 0.9575 0.4542 0.4542
14 Sm 0.2062 0.2062 0.2062
15 Sm 0.7938 0.7938 0.7938

Properties
For the energy above the most stable polymorph in this dataset, the calculation gives 91 meV per atom. The calculated formation energy comes out at 214.0 kJ/mol of formula units. The calculation puts the volume at 35.2 Å³ per atom.


Entry 4:
DFT (PBE) results for an optimized crystal structure of Pm2Sm13.

Cell: 6.7424 9.0984 9.1011 Å, 66.35 82.22 82.22°
Sites, in units of the cell vectors:
1 Pm 0.1008 0.2670 0.4328
2 Pm 0.8992 0.7330 0.5672
3 Sm 0.0000 0.5000 0.0000
4 Sm 0.0995 0.9335 0.7666
5 Sm 0.2009 0.7008 0.1988
6 Sm 0.2992 0.4678 0.6322
7 Sm 0.3002 0.1339 0.9660
8 Sm 0.4004 0.9004 0.3993
9 Sm 0.4995 0.6667 0.8330
10 Sm 0.5005 0.3333 0.1670
11 Sm 0.5996 0.0996 0.6007
12 Sm 0.6998 0.8661 0.0340
13 Sm 0.7008 0.5322 0.3678
14 Sm 0.7991 0.2992 0.8012
15 Sm 0.9005 0.0665 0.2334

Properties
The calculated formation energy comes out at 86.0 kJ/mol of formula units. The calculation puts the volume at 33.6 Å³ per atom.


Entry 5:
DFT (PBE) results for an optimized crystal structure of Pm2Sm7.

Cell: 6.2977 6.2977 8.8792 Å, 90.00 90.00 120.00°
Sites, in units of the cell vectors:
1 Pm 0.3333 0.6667 0.0000
2 Pm 0.6667 0.3333 0.0000
3 Sm 0.0000 0.0000 0.0000
4 Sm 0.0000 0.3332 0.6662
5 Sm 0.0000 0.6668 0.3338
6 Sm 0.3332 0.0000 0.6662
7 Sm 0.3332 0.3332 0.3338
8 Sm 0.6668 0.0000 0.3338
9 Sm 0.6668 0.6668 0.6662

Properties
The calculated formation energy comes out at 11.4 kJ/mol of formula units. The calculation puts the volume at 33.9 Å³ per atom.


Entry 6:
DFT (PBE) results for an optimized crystal structure of Pm4Sm3.

Cell: 6.3052 6.3052 8.1487 Å, 97.37 97.37 48.18°
Sites, in units of the cell vectors:
1 Pm 0.0712 0.0712 0.2150
2 Pm 0.3570 0.3570 0.0717
3 Pm 0.6430 0.6430 0.9283
4 Pm 0.9288 0.9288 0.7850
5 Sm 0.2144 0.2144 0.6423
6 Sm 0.5000 0.5000 0.5000
7 Sm 0.7856 0.7856 0.3577

Properties
The calculated formation energy comes out at 8.4 kJ/mol of formula units. The calculation puts the volume at 34.1 Å³ per atom.


Entry 7:
DFT (PBE) results for an optimized crystal structure of Pm3Sm13.

Cell: 10.2502 7.2734 7.2734 Å, 90.00 90.00 90.00°
Sites, in units of the cell vectors:
1 Pm 0.0000 0.0000 0.0000
2 Pm 0.2502 0.2504 0.2504
3 Pm 0.7498 0.2504 0.2504
4 Sm 0.0000 0.0001 0.5004
5 Sm 0.0000 0.5004 0.0001
6 Sm 0.0000 0.5005 0.5005
7 Sm 0.2502 0.2504 0.7501
8 Sm 0.2502 0.7501 0.2504
9 Sm 0.2501 0.7501 0.7501
10 Sm 0.5000 0.0000 0.0000
11 Sm 0.5000 0.9999 0.5006
12 Sm 0.5000 0.5006 0.9999
13 Sm 0.5000 0.5005 0.5005
14 Sm 0.7498 0.2504 0.7501
15 Sm 0.7498 0.7501 0.2504
16 Sm 0.7499 0.7501 0.7501

Properties
For the energy above the most stable polymorph in this dataset, the calculation gives 0 meV per atom. The calculated formation energy comes out at 22.5 kJ/mol of formula units. The calculation puts the volume at 33.9 Å³ per atom.


Entry 8:
DFT (PBE) results for an optimized crystal structure of Pm4Sm3.

Cell: 13.1203 13.1203 13.1203 Å, 164.06 157.37 27.80°
Sites, in units of the cell vectors:
1 Pm 0.0714 0.0714 0.0000
2 Pm 0.2141 0.2141 0.0000
3 Pm 0.7859 0.7859 0.0000
4 Pm 0.9286 0.9286 0.0000
5 Sm 0.3572 0.3572 0.0000
6 Sm 0.5000 0.5000 0.0000
7 Sm 0.6428 0.6428 0.0000

Properties
The calculated formation energy comes out at 8.2 kJ/mol of formula units. The calculation puts the volume at 34.1 Å³ per atom.


Entry 9:
DFT (PBE) results for an optimized crystal structure of Pm5Sm7.

Cell: 9.6623 9.6623 13.3749 Å, 117.69 117.69 21.79°
Sites, in units of the cell vectors:
1 Pm 0.0000 0.0000 0.0000
2 Pm 0.1664 0.1664 0.4996
3 Pm 0.3054 0.3054 0.2497
4 Pm 0.6946 0.6946 0.7503
5 Pm 0.8336 0.8336 0.5004
6 Sm 0.0277 0.0277 0.7500
7 Sm 0.3334 0.3334 0.0005
8 Sm 0.3613 0.3613 0.7503
9 Sm 0.5000 0.5000 0.5000
10 Sm 0.6387 0.6387 0.2497
11 Sm 0.6666 0.6666 0.9995
12 Sm 0.9723 0.9723 0.2500

Properties
For the energy above the most stable polymorph in this dataset, the calculation gives 0 meV per atom. The calculated formation energy comes out at 5.2 kJ/mol of formula units. The calculation puts the volume at 34.0 Å³ per atom.


Entry 10:
DFT (PBE) results for an optimized crystal structure of PmSm4.

Cell: 3.6333 3.6333 14.9484 Å, 96.93 96.93 59.95°
Sites, in units of the cell vectors:
1 Pm 0.0000 0.0000 0.0000
2 Sm 0.1995 0.1995 0.5998
3 Sm 0.3997 0.3997 0.2006
4 Sm 0.6003 0.6003 0.7994
5 Sm 0.8005 0.8005 0.4002

Properties
For the energy above the most stable polymorph in this dataset, the calculation gives 0 meV per atom. The calculated formation energy comes out at 5.4 kJ/mol of formula units. The calculation puts the volume at 33.8 Å³ per atom.


Entry 11:
DFT (PBE) results for an optimized crystal structure of Pm5Sm3.

Cell: 3.6429 3.6429 20.6212 Å, 90.00 90.00 90.00°
Sites, in units of the cell vectors:
1 Pm 0.0000 0.0000 0.0000
2 Pm 0.0000 0.0000 0.2496
3 Pm 0.0000 0.0000 0.7504
4 Pm 0.5000 0.5000 0.3751
5 Pm 0.5000 0.5000 0.6249
6 Sm 0.0000 0.0000 0.5000
7 Sm 0.5000 0.5000 0.1247
8 Sm 0.5000 0.5000 0.8753

Properties
The calculated formation energy comes out at 11.3 kJ/mol of formula units. The calculation puts the volume at 34.2 Å³ per atom.


Entry 12:
DFT (PBE) results for an optimized crystal structure of Pm5Sm7.

Cell: 5.6744 5.6744 14.8885 Å, 102.36 102.36 62.78°
Sites, in units of the cell vectors:
1 Pm 0.0000 0.0000 0.0000
2 Pm 0.1339 0.1339 0.4374
3 Pm 0.3739 0.3739 0.2006
4 Pm 0.6261 0.6261 0.7994
5 Pm 0.8661 0.8661 0.5626
6 Sm 0.0365 0.0365 0.2138
7 Sm 0.2457 0.2457 0.6716
8 Sm 0.3216 0.3216 0.9163
9 Sm 0.5000 0.5000 0.5000
10 Sm 0.6784 0.6784 0.0837
11 Sm 0.7543 0.7543 0.3284
12 Sm 0.9635 0.9635 0.7862

Properties
For the energy above the most stable polymorph in this dataset, the calculation gives 164 meV per atom. The calculated formation energy comes out at 195.4 kJ/mol of formula units. The calculation puts the volume at 34.4 Å³ per atom.


Question: Which of these has the lowest volume?
Answer: number 1